Compound: PRuAu
Source: Alexandria via LeMat-Bulk
Functional: PBE
Structure: optimized geometry

Summary:
- calculated volume (Å³/f.u.) = 48.1
- theoretical density (g cm⁻³) = 11.37
- space-group type = P3m1
- total magnetization (μB/cell) = 0.00
- offset from the most stable computed form (kJ per mole of atoms) = 0.0
- energy (eV/cell) = -18.240

```
PRuAu
1.0
3.819 0.000 0.000
-1.909 3.307 0.000
0.000 0.000 3.806
P Ru Au
1 1 1
Cartesian
0.000 0.000 0.000
1.909 1.102 0.468
0.000 2.205 2.275
```

Compound: Sm3TmZn4
Source: Alexandria via LeMat-Bulk
Functional: PBE
Structure: optimized geometry

Summary:
- calculated volume (Å³/f.u.) = 188.3
- theoretical density (g cm⁻³) = 7.78
- space-group type = R-3m
- total magnetization (μB/cell) = 0.00
- energy (eV/cell) = -26.306

```
Sm3TmZn4
1.0
2.549 1.471 8.368
-2.549 1.471 8.368
0.000 -2.943 8.368
Sm Tm Zn
3 1 4
Cartesian
0.000 0.000 0.000
0.000 0.000 6.239
0.000 0.000 18.866
0.000 0.000 12.553
0.000 0.000 3.172
0.000 0.000 9.455
0.000 0.000 15.651
0.000 0.000 21.934
```